(1)
The following is a GGA-PBE calculation of Na2CdAg after structural relaxation, from the Alexandria database.

Unit cell a=6.0806 b=6.0806 c=5.6446 alpha=90.00 beta=90.00 gamma=77.91
Closest atoms and distances in Å follow each position.
Fractional coordinates of all 8 atoms:
Na1 0.0231 0.3517 0.2500  4 Cd 3.13-3.33, 2 Na 3.33, 2 Ag 3.42
Na2 0.3517 0.0231 0.7500  4 Cd 3.13-3.33, 2 Na 3.33, 2 Ag 3.42
Na3 0.6483 0.9769 0.2500  4 Cd 3.13-3.33, 2 Na 3.33, 2 Ag 3.42
Na4 0.9769 0.6483 0.7500  4 Cd 3.13-3.33, 2 Na 3.33, 2 Ag 3.42
Cd1 0.1730 0.8270 0.2500  2 Ag 2.87, 4 Na 3.13-3.21
Cd2 0.8270 0.1730 0.7500  2 Ag 2.87, 4 Na 3.13-3.21
Ag1 0.5000 0.5000 0.0000  2 Ag 2.82, 2 Cd 2.87
Ag2 0.5000 0.5000 0.5000  2 Ag 2.82, 2 Cd 2.87

Calculated volume   204.1 Å³/cell
ΔE_f   -0.05 eV per atom
Spin magnetization   0.00 μB/f.u.


(2)
The following is a GGA-PBE calculation of YAuC after structural relaxation, from the Alexandria database.

Unit cell a=5.0800 b=5.0800 c=8.9394 alpha=90.00 beta=90.00 gamma=120.00
Closest atoms and distances in Å follow each position.
Fractional coordinates of all 6 atoms:
Y1 0.0000 0.0000 0.2500  2 C 2.23
Y2 0.0000 0.0000 0.7500  2 C 2.23
Au1 0.3333 0.6667 0.2500  3 Y 2.93
Au2 0.6667 0.3333 0.7500  3 Y 2.93
C1 0.0000 0.0000 0.0000  2 Y 2.23
C2 0.0000 0.0000 0.5000  2 Y 2.23

Calculated volume   199.8 Å³/cell
ΔE_f   1.44 eV per atom
Spin magnetization   1.39 μB/f.u.


(3)
The following is a GGA-PBE calculation of Ni2OsRh after structural relaxation, from the Alexandria database.

Unit cell a=2.6447 b=3.6432 c=5.2512 alpha=90.00 beta=90.00 gamma=90.00
Closest atoms and distances in Å follow each position.
Fractional coordinates of all 4 atoms:
Ni1 0.0000 0.0000 0.2412  4 Ni 2.53-2.72, 4 Os 2.58, 4 Rh 2.63
Ni2 0.0000 0.0000 0.7588  4 Ni 2.53-2.72, 4 Os 2.58, 4 Rh 2.63
Os1 0.5000 0.5000 0.0000  8 Ni 2.58, 2 Rh 2.63, 2 Os 2.64
Rh1 0.5000 0.5000 0.5000  2 Os 2.63, 8 Ni 2.63, 2 Rh 2.64

Calculated volume   50.6 Å³/cell
ΔE_f   0.11 eV per atom
Spin magnetization   0.00 μB/f.u.


(4)
The following is a GGA-PBE calculation of MnPd5Pt5 after structural relaxation, from the Alexandria database.

Unit cell a=8.0508 b=8.0508 c=5.2489 alpha=108.63 beta=108.63 gamma=34.56
Closest atoms and distances in Å follow each position.
Fractional coordinates of all 11 atoms:
Mn1 0.0000 0.0000 0.0000  6 Pt 2.39-2.68, 2 Pd 2.62
Pd1 0.0000 0.0000 0.5000  2 Mn 2.62, 4 Pt 2.67, 4 Pd 2.81
Pd2 0.3206 0.3206 0.8214  7 Pt 2.60-2.74, 2 Pd 2.85
Pd3 0.3978 0.3978 0.3969  5 Pd 2.81-2.96, 6 Pt 2.85-3.03
Pd4 0.6022 0.6022 0.6031  5 Pd 2.81-2.96, 6 Pt 2.85-3.03
Pd5 0.6794 0.6794 0.1786  7 Pt 2.60-2.74, 2 Pd 2.85
Pt1 0.1592 0.1592 0.9104  2 Pt 2.61-2.64, 1 Mn 2.64, 6 Pd 2.67-2.85
Pt2 0.1609 0.1609 0.4086  2 Pt 2.61-2.64, 6 Pd 2.67-2.86, 1 Mn 2.68
Pt3 0.5000 0.5000 0.0000  2 Mn 2.39, 2 Pd 2.60
Pt4 0.8391 0.8391 0.5914  2 Pt 2.61-2.64, 6 Pd 2.67-2.86, 1 Mn 2.68
Pt5 0.8408 0.8408 0.0896  2 Pt 2.61-2.64, 1 Mn 2.64, 6 Pd 2.67-2.85

Energy above the most stable polymorph in this dataset   1.55 eV/f.u.
Calculated volume   181.9 Å³/cell
ΔE_f   0.15 eV per atom
Spin magnetization   4.00 μB/f.u.